[1]
Below is Sr4RhPb after structural relaxation, with properties calculated at the GGA-PBE level.

abc: 8.8980 8.8980 6.7972
angles: 104.61 104.61 112.34
Fractional positions:
Sr  0.0529  0.7189  0.9275
Sr  0.2195  0.3485  0.6851
Sr  0.2811  0.9471  0.5725
Sr  0.3485  0.2195  0.1851
Sr  0.6515  0.7805  0.8149
Sr  0.7189  0.0529  0.4275
Sr  0.7805  0.6515  0.3149
Sr  0.9471  0.2811  0.0725
Rh  0.0011  0.9989  0.7500
Rh  0.9989  0.0011  0.2500
Pb  0.3642  0.6358  0.2500
Pb  0.6358  0.3642  0.7500

Summary:
Distance to the lowest polymorph of the same formula (eV/atom): 0.000
Space-group type: C2/c (15)
Calculated formation energy (eV per atom): -0.356

[2]
Below is AlCoNi2 after structural relaxation, with properties calculated at the GGA-PBE level.

abc: 8.7520 8.7520 8.7520
angles: 157.27 157.27 32.36
Fractional positions:
Al  0.0000  0.0000  0.0000
Al  0.7500  0.2500  0.5000
Co  0.2500  0.7500  0.5000
Co  0.5000  0.5000  0.0000
Ni  0.1291  0.6250  0.0041
Ni  0.3750  0.3791  0.5041
Ni  0.6209  0.1250  0.9959
Ni  0.8750  0.8709  0.4959

Summary:
Space-group type: I-42d (122)
Calculated formation energy (eV per atom): 0.123